Density functional theory data (PBE) for an optimized crystal structure of Y6IO12.

Unit cell a=6.542 b=6.542 c=6.542 alpha=98.63 beta=98.63 gamma=98.63
Fractional coordinates of all 19 atoms:
Y 0.111 0.645 0.817
Y 0.183 0.889 0.355
Y 0.355 0.183 0.889
Y 0.645 0.817 0.111
Y 0.817 0.111 0.645
Y 0.889 0.355 0.183
I 0.500 0.500 0.500
O 0.068 0.323 0.908
O 0.092 0.932 0.677
O 0.195 0.537 0.432
O 0.323 0.908 0.068
O 0.432 0.195 0.537
O 0.463 0.568 0.805
O 0.537 0.432 0.195
O 0.568 0.805 0.463
O 0.677 0.092 0.932
O 0.805 0.463 0.568
O 0.908 0.068 0.323
O 0.932 0.677 0.092

## Properties
Energy relative to the elements, uncorrected: -55.245 eV/f.u.
E_tot: -0.59990 Ry/atom
Symmetry: R-3


Density functional theory data (PBE) for an optimized crystal structure of SrGa3H12.

Unit cell a=9.575 b=9.575 c=9.575 alpha=50.32 beta=50.32 gamma=50.32
Fractional coordinates of all 32 atoms:
Sr 0.000 0.000 0.000
Sr 0.500 0.500 0.500
Ga 0.097 0.466 0.693
Ga 0.193 0.966 0.597
Ga 0.466 0.693 0.097
Ga 0.597 0.193 0.966
Ga 0.693 0.097 0.466
Ga 0.966 0.597 0.193
H 0.073 0.717 0.962
H 0.081 0.285 0.737
H 0.137 0.378 0.239
H 0.207 0.402 0.811
H 0.217 0.573 0.462
H 0.237 0.785 0.581
H 0.239 0.137 0.378
H 0.285 0.737 0.081
H 0.311 0.902 0.707
H 0.378 0.239 0.137
H 0.402 0.811 0.207
H 0.462 0.217 0.573
H 0.573 0.462 0.217
H 0.581 0.237 0.785
H 0.637 0.739 0.878
H 0.707 0.311 0.902
H 0.717 0.962 0.073
H 0.737 0.081 0.285
H 0.739 0.878 0.637
H 0.785 0.581 0.237
H 0.811 0.207 0.402
H 0.878 0.637 0.739
H 0.902 0.707 0.311
H 0.962 0.073 0.717

## Properties
E_tot: -0.22683 Ry/atom
Symmetry: R3c


Density functional theory data (PBE) for an optimized crystal structure of Pm3YTm12.

Unit cell a=4.982 b=4.982 c=19.946 alpha=90.00 beta=90.00 gamma=90.00
Fractional coordinates of all 16 atoms:
Pm 0.000 0.000 0.000
Pm 0.000 0.000 0.250
Pm 0.000 0.000 0.750
Y 0.000 0.000 0.500
Tm 0.000 0.500 0.125
Tm 0.000 0.500 0.376
Tm 0.000 0.500 0.624
Tm 0.000 0.500 0.875
Tm 0.500 0.000 0.125
Tm 0.500 0.000 0.376
Tm 0.500 0.000 0.624
Tm 0.500 0.000 0.875
Tm 0.500 0.500 0.000
Tm 0.500 0.500 0.251
Tm 0.500 0.500 0.500
Tm 0.500 0.500 0.749

## Properties
E_tot: -0.33968 Ry/atom
Symmetry: P4/mmm
Formation enthalpy at 0 K: 0.03 eV per atom


Density functional theory data (PBE) for an optimized crystal structure of Sm2UC3.

Unit cell a=8.128 b=8.128 c=5.123 alpha=90.00 beta=90.00 gamma=37.35
Fractional coordinates of all 12 atoms:
Sm 0.085 0.588 0.500
Sm 0.412 0.915 0.500
Sm 0.588 0.085 0.000
Sm 0.915 0.412 0.000
U 0.243 0.757 0.000
U 0.757 0.243 0.500
C 0.111 0.605 0.000
C 0.210 0.790 0.499
C 0.395 0.889 0.000
C 0.605 0.111 0.500
C 0.790 0.210 0.999
C 0.889 0.395 0.500

## Properties
E_tot: -0.60070 Ry/atom
Symmetry: Cmc2_1
Formation enthalpy at 0 K: -0.11 eV per atom
Distance to the lowest polymorph of the same formula: 27 kJ/mol of formula units


Density functional theory data (PBE) for an optimized crystal structure of ZnPt3Pb.

Unit cell a=5.062 b=5.062 c=5.062 alpha=90.00 beta=90.00 gamma=90.00
Fractional coordinates of all 5 atoms:
Zn 0.000 0.000 0.000
Pt 0.000 0.500 0.500
Pt 0.500 0.000 0.500
Pt 0.500 0.500 0.000
Pb 0.500 0.500 0.500

## Properties
E_tot: -0.25140 Ry/atom
Symmetry: Pm-3m
Formation enthalpy at 0 K: 1.20 eV per atom
Distance to the lowest polymorph of the same formula: 377 kJ/mol of formula units


Density functional theory data (PBE) for an optimized crystal structure of MnC3.

Unit cell a=6.971 b=6.971 c=6.971 alpha=158.96 beta=158.96 gamma=29.93
Fractional coordinates of all 4 atoms:
Mn 0.000 0.000 0.000
C 0.250 0.750 0.500
C 0.500 0.500 0.000
C 0.750 0.250 0.500

## Properties
E_tot: -0.52811 Ry/atom
Symmetry: I4/mmm
Formation enthalpy at 0 K: 2.02 eV per atom
Distance to the lowest polymorph of the same formula: 508 kJ/mol of formula units


Density functional theory data (PBE) for an optimized crystal structure of Zn2Cd3Ag4.

Unit cell a=5.288 b=5.288 c=9.240 alpha=105.48 beta=105.48 gamma=41.72
Fractional coordinates of all 9 atoms:
Zn 0.169 0.169 0.216
Zn 0.831 0.831 0.784
Cd 0.163 0.163 0.562
Cd 0.500 0.500 0.000
Cd 0.837 0.837 0.438
Ag 0.174 0.174 0.885
Ag 0.487 0.487 0.676
Ag 0.513 0.513 0.324
Ag 0.826 0.826 0.115

## Properties
E_tot: -0.13744 Ry/atom
Symmetry: C2/m
Formation enthalpy at 0 K: -0.01 eV per atom
Distance to the lowest polymorph of the same formula: 0 kJ/mol of formula units


Density functional theory data (PBE) for an optimized crystal structure of DyCdHg.

Unit cell a=4.952 b=4.952 c=3.436 alpha=90.00 beta=90.00 gamma=120.00
Fractional coordinates of all 3 atoms:
Dy 0.000 0.000 0.000
Cd 0.333 0.667 0.500
Hg 0.667 0.333 0.500

## Properties
E_tot: -0.16935 Ry/atom
Symmetry: P-6m2
Formation enthalpy at 0 K: -0.36 eV per atom


The lowest E_tot belongs to which entry?
Sm2UC3